Entry A
SrGa4Pt6 | PBE | optimized geometry

Cell: 6.677 6.677 6.677 Å, 91.91 118.91 118.91°
Positions (direct):
Sr (0.000, 0.000, 0.000)
Ga (0.000, 0.124, 0.526)
Ga (0.597, 0.474, 0.474)
Ga (0.000, 0.526, 0.124)
Ga (0.403, 0.876, 0.876)
Pt (0.000, 0.768, 0.449)
Pt (0.000, 0.449, 0.768)
Pt (0.681, 0.232, 0.232)
Pt (0.500, 0.000, 0.500)
Pt (0.319, 0.551, 0.551)
Pt (0.500, 0.500, 0.000)

Calculated values
- Symmetry: I-42m, No. 121

=====

Entry B
SrGa4Pt6 | PBE | optimized geometry

Cell: 3.985 7.404 7.404 Å, 120.00 90.00 90.00°
Positions (direct):
Sr (0.000, 0.000, 0.000)
Ga (0.500, 0.802, 0.604)
Ga (0.500, 0.396, 0.198)
Ga (0.500, 0.802, 0.198)
Ga (0.000, 0.333, 0.667)
Pt (0.000, 0.533, 0.066)
Pt (0.500, 0.600, 0.800)
Pt (0.000, 0.533, 0.467)
Pt (0.000, 0.934, 0.467)
Pt (0.500, 0.200, 0.800)
Pt (0.500, 0.200, 0.400)

Calculated values
- Symmetry: P-6m2, No. 187

=====

Which one is most stable, and which one is least stable? entry B is the most stable of them, while entry A is the least stable.

=====

Entry A
Sr2GaTePt | PBE | optimized geometry

Cell: 6.095 5.129 6.095 Å, 90.00 90.00 90.00°
Positions (direct):
Sr (0.000, 0.000, 0.500)
Sr (0.500, 0.000, 0.000)
Te (0.000, 0.000, 0.000)
Ga (0.000, 0.500, 0.000)
Pt (0.500, 0.500, 0.500)

Calculated values
- Symmetry: P4/mmm, No. 123

=====

Entry B
Sr2GaTePt | PBE | optimized geometry

Cell: 5.871 5.871 4.768 Å, 90.00 90.00 90.00°
Positions (direct):
Sr (0.000, 0.500, 0.000)
Sr (0.500, 0.000, 0.000)
Te (0.500, 0.500, 0.500)
Ga (0.000, 0.000, 0.500)
Pt (0.000, 0.000, 0.000)

Calculated values
- Symmetry: P4/mmm, No. 123

=====

Which one is most stable, and which one is least stable? entry B is the most stable of them, while entry A is the least stable.

=====

Entry A
SrZn2GaPt | PBE | optimized geometry

Cell: 4.917 4.917 4.833 Å, 90.00 90.00 90.00°
Positions (direct):
Sr (0.500, 0.500, 0.500)
Zn (0.000, 0.500, 0.000)
Zn (0.500, 0.000, 0.000)
Ga (0.000, 0.000, 0.500)
Pt (0.000, 0.000, 0.000)

Calculated values
- Symmetry: P4/mmm, No. 123

=====

Entry B
SrZn2GaPt | PBE | optimized geometry

Cell: 4.371 4.471 6.109 Å, 111.46 110.96 90.00°
Positions (direct):
Sr (0.443, 0.443, 0.886)
Zn (0.692, 0.192, 0.384)
Zn (0.067, 0.067, 0.133)
Ga (0.817, 0.817, 0.633)
Pt (0.194, 0.694, 0.388)

Calculated values
- Symmetry: Imm2, No. 44

=====

Which one is most stable, and which one is least stable? entry B is the most stable of them, while entry A is the least stable.

=====

Entry A
TaGaPt3 | PBE | optimized geometry

Cell: 4.932 4.932 4.932 Å, 90.00 90.00 90.00°
Positions (direct):
Ga (0.500, 0.500, 0.500)
Pt (0.000, 0.500, 0.000)
Pt (0.000, 0.000, 0.500)
Pt (0.500, 0.000, 0.000)
Ta (0.000, 0.000, 0.000)

Calculated values
- Symmetry: Pm-3m, No. 221

=====

Entry B
TaGaPt3 | PBE | optimized geometry

Cell: 4.574 4.574 4.574 Å, 90.00 90.00 90.00°
Positions (direct):
Ga (0.000, 0.000, 0.000)
Pt (0.000, 0.500, 0.000)
Pt (0.000, 0.000, 0.500)
Pt (0.500, 0.000, 0.000)
Ta (0.500, 0.500, 0.500)

Calculated values
- Symmetry: Pm-3m, No. 221

=====

Which one is most stable, and which one is least stable? entry B is the most stable of them, while entry A is the least stable.

=====

Entry A
TbGa4Pt2 | PBE | optimized geometry

Cell: 4.298 6.679 17.365 Å, 90.00 90.00 90.00°
Positions (direct):
Tb (0.750, 0.986, 0.641)
Tb (0.250, 0.014, 0.359)
Tb (0.250, 0.486, 0.859)
Tb (0.750, 0.514, 0.141)
Pt (0.250, 0.751, 0.537)
Pt (0.750, 0.249, 0.463)
Pt (0.750, 0.251, 0.963)
Pt (0.250, 0.749, 0.037)
Pt (0.250, 0.973, 0.784)
Pt (0.750, 0.027, 0.216)
Pt (0.750, 0.473, 0.716)
Pt (0.250, 0.527, 0.284)
Ga (0.250, 0.271, 0.688)
Ga (0.750, 0.729, 0.312)
Ga (0.750, 0.771, 0.812)
Ga (0.250, 0.229, 0.188)
Ga (0.250, 0.681, 0.685)
Ga (0.750, 0.319, 0.315)
Ga (0.750, 0.181, 0.815)
Ga (0.250, 0.819, 0.185)
Ga (0.250, 0.150, 0.537)
Ga (0.750, 0.850, 0.463)
Ga (0.750, 0.650, 0.963)
Ga (0.250, 0.350, 0.037)
Ga (0.250, 0.486, 0.431)
Ga (0.750, 0.514, 0.569)
Ga (0.750, 0.986, 0.069)
Ga (0.250, 0.014, 0.931)

Calculated values
- Symmetry: Pnma, No. 62

=====

Entry B
TbGa4Pt2 | PBE | optimized geometry

Cell: 4.144 7.899 7.899 Å, 90.00 90.00 90.00°
Positions (direct):
Tb (0.500, 0.000, 0.000)
Tb (0.000, 0.500, 0.500)
Ga (0.000, 0.082, 0.323)
Ga (0.000, 0.918, 0.677)
Ga (0.500, 0.177, 0.582)
Ga (0.500, 0.823, 0.418)
Ga (0.500, 0.418, 0.823)
Ga (0.500, 0.582, 0.177)
Ga (0.000, 0.323, 0.082)
Ga (0.000, 0.677, 0.918)
Pt (0.000, 0.219, 0.781)
Pt (0.000, 0.781, 0.219)
Pt (0.500, 0.719, 0.719)
Pt (0.500, 0.281, 0.281)

Calculated values
- Symmetry: P4_2/mnm, No. 136

=====

Which one is most stable, and which one is least stable? entry A is the most stable of them, while entry B is the least stable.

=====

Entry A
Tb3Ga4Pt4 | PBE | optimized geometry

Cell: 4.387 3.764 13.411 Å, 98.07 99.41 90.00°
Positions (direct):
Tb (0.356, 0.856, 0.713)
Tb (0.644, 0.144, 0.287)
Tb (0.000, 0.000, 0.000)
Ga (0.808, 0.308, 0.617)
Ga (0.452, 0.452, 0.904)
Ga (0.548, 0.548, 0.096)
Ga (0.192, 0.692, 0.383)
Pt (0.257, 0.257, 0.513)
Pt (0.096, 0.596, 0.191)
Pt (0.904, 0.404, 0.809)
Pt (0.743, 0.743, 0.487)

Calculated values
- Symmetry: Immm, No. 71

=====

Entry B
Tb3Ga4Pt4 | PBE | optimized geometry

Cell: 4.131 7.205 8.276 Å, 115.81 104.45 90.00°
Positions (direct):
Tb (0.124, 0.124, 0.248)
Tb (0.876, 0.876, 0.752)
Tb (0.000, 0.500, 0.000)
Ga (0.327, 0.127, 0.654)
Ga (0.673, 0.473, 0.346)
Ga (0.673, 0.873, 0.346)
Ga (0.327, 0.527, 0.654)
Pt (0.215, 0.715, 0.430)
Pt (0.785, 0.285, 0.570)
Pt (0.500, 0.799, 0.000)
Pt (0.500, 0.201, 0.000)

Calculated values
- Symmetry: Immm, No. 71

=====

Which one is most stable, and which one is least stable? entry B is the most stable of them, while entry A is the least stable.